1.
TiFeW2C: relaxed, GGA-PBE.

Properties
magnetization	2.25	μB per cell
total DFT energy (no corrections)	-10.2933	eV per atom
formation energy	0.004	eV/atom
symmetry	P4/mmm

```
TiFeW2C
1.0
4.2307 0.0000 0.0000
0.0000 3.7416 0.0000
0.0000 0.0000 4.2307
C Fe W Ti
1 1 2 1
Direct
0.0000 0.0000 0.0000
0.0000 0.5000 0.0000
0.0000 0.0000 0.5000
0.5000 0.0000 0.0000
0.5000 0.5000 0.5000
```


2.
CaPm12Dy6: relaxed, GGA-PBE.

Properties
magnetization	0.00	μB per cell
total DFT energy (no corrections)	-4.3717	eV per atom
formation energy	0.187	eV/atom
symmetry	R-3m

```
CaPm12Dy6
1.0
-5.4799 -6.9332 -0.3380
4.5706 -2.3489 7.1976
-5.5000 5.7754 3.8220
Ca Pm Dy
1 12 6
Direct
0.0000 0.0000 0.0000
0.7610 0.2390 0.5000
0.3584 0.0856 0.3584
0.3584 0.3584 0.0856
0.9144 0.6416 0.6416
0.6416 0.6416 0.9144
0.6416 0.9144 0.6416
0.5000 0.7610 0.2390
0.2390 0.5000 0.7610
0.2390 0.7610 0.5000
0.5000 0.2390 0.7610
0.7610 0.5000 0.2390
0.0856 0.3584 0.3584
0.9019 0.3439 0.9019
0.9019 0.9019 0.3439
0.3439 0.9019 0.9019
0.0981 0.0981 0.6561
0.0981 0.6561 0.0981
0.6561 0.0981 0.0981
```


3.
YReNi3: relaxed, GGA-PBE.

Properties
magnetization	0.00	μB per cell
total DFT energy (no corrections)	-6.7271	eV per atom
formation energy	0.524	eV/atom
symmetry	Pm-3m

```
YReNi3
1.0
-0.8010 -4.0771 1.8273
2.7071 -1.9197 -3.0967
3.5544 0.5433 2.7703
Y Re Ni
1 1 3
Direct
0.5000 0.5000 0.5000
0.0000 0.0000 0.0000
0.0000 0.5000 0.0000
0.0000 0.0000 0.5000
0.5000 0.0000 0.0000
```


4.
HfGa3As: relaxed, GGA-PBE.

Properties
magnetization	0.00	μB per cell
total DFT energy (no corrections)	-4.0760	eV per atom
formation energy	0.661	eV/atom
symmetry	Pm-3m

```
HfGa3As
1.0
4.8463 0.0000 0.0000
0.0000 4.8463 0.0000
0.0000 0.0000 4.8463
As Hf Ga
1 1 3
Direct
0.0000 0.0000 0.0000
0.5000 0.5000 0.5000
0.0000 0.5000 0.0000
0.0000 0.0000 0.5000
0.5000 0.0000 0.0000
```


5.
Ac3Sn4Ir4: relaxed, GGA-PBE.

Properties
magnetization	0.00	μB per cell
total DFT energy (no corrections)	-6.4401	eV per atom
formation energy	-0.642	eV/atom
symmetry	Immm

```
Ac3Sn4Ir4
1.0
-2.0025 -3.3103 -1.8471
4.8298 0.6422 -6.3872
3.5523 -3.4944 7.3868
Ac Sn Ir
3 4 4
Direct
0.1143 0.1143 0.2286
0.8857 0.8857 0.7714
0.0000 0.5000 0.0000
0.3254 0.1282 0.6507
0.6746 0.4775 0.3493
0.6746 0.8718 0.3493
0.3254 0.5225 0.6507
0.2227 0.7227 0.4454
0.7773 0.2773 0.5546
0.5000 0.7812 0.0000
0.5000 0.2188 0.0000
```


6.
Tl2InIrCl: relaxed, GGA-PBE.

Properties
magnetization	0.00	μB per cell
total DFT energy (no corrections)	-3.9771	eV per atom
raw formation energy	-1.707	eV/f.u.
symmetry	P4/mmm

```
Tl2InIrCl
1.0
5.3191 0.0000 0.0000
0.0000 5.3191 0.0000
0.0000 0.0000 5.2128
Cl Tl Ir In
1 2 1 1
Direct
0.5000 0.5000 0.5000
0.0000 0.5000 0.0000
0.5000 0.0000 0.0000
0.0000 0.0000 0.0000
0.0000 0.0000 0.5000
```


7.
DyRh2Au: relaxed, GGA-PBE.

Properties
magnetization	0.00	μB per cell
total DFT energy (no corrections)	-6.2381	eV per atom
formation energy	-0.593	eV/atom
symmetry	P4/mmm

```
DyRh2Au
1.0
-0.1376 -0.4068 -3.9289
-2.9176 -2.9949 0.4123
-3.0196 2.9147 -0.1961
Rh Au Dy
2 1 1
Direct
0.0000 0.0000 0.5000
0.0000 0.5000 0.0000
0.5000 0.0000 0.0000
0.5000 0.5000 0.5000
```


8.
HfIn2Cu: relaxed, GGA-PBE.

Properties
magnetization	0.00	μB per cell
total DFT energy (no corrections)	-4.9647	eV per atom
formation energy	-0.083	eV/atom
symmetry	P4/mmm

```
HfIn2Cu
1.0
-0.5925 3.7353 1.8827
1.7171 -1.5549 3.6252
3.8982 1.2737 -1.3001
Hf Cu In
1 1 2
Direct
0.5000 0.5000 0.5000
0.5000 0.0000 0.0000
0.0000 0.0000 0.5000
0.0000 0.5000 0.0000
```


9.
ZnBTe2N: relaxed, GGA-PBE.

Properties
magnetization	0.67	μB per cell
total DFT energy (no corrections)	-2.9278	eV per atom
raw formation energy	7.921	eV/f.u.
symmetry	P4/mmm

```
ZnBTe2N
1.0
-3.3879 -2.2062 -3.7974
-3.4578 -1.6170 4.0243
-1.7337 3.0896 -0.2482
Zn Te B N
1 2 1 1
Direct
0.0000 0.0000 0.0000
0.0000 0.5000 0.0000
0.5000 0.0000 0.0000
0.5000 0.5000 0.5000
0.0000 0.0000 0.5000
```


10.
Zn2Ga3Ag8: relaxed, GGA-PBE.

Properties
magnetization	0.00	μB per cell
total DFT energy (no corrections)	-2.5152	eV per atom
formation energy	0.134	eV/atom
symmetry	C2/m

```
Zn2Ga3Ag8
1.0
6.6287 0.0000 0.3485
0.0000 5.3926 0.0000
-2.2767 -2.6963 7.0526
Zn Ga Ag
2 3 8
Direct
0.2239 0.2512 0.5023
0.7761 0.7488 0.4977
0.5000 0.0000 0.0000
0.0000 0.2458 0.0000
0.0000 0.7542 0.0000
0.0809 0.6648 0.3295
0.9191 0.3352 0.6705
0.8468 0.1356 0.2713
0.1532 0.8644 0.7287
0.5502 0.6034 0.7075
0.5502 0.1040 0.7075
0.4498 0.8960 0.2925
0.4498 0.3966 0.2925
```